FePC: relaxed, PBE.

Cell: 3.827 2.936 6.814 Å, 90.00 109.12 90.00°
Element x y z (fractional)
P1 0.363 0.000 0.883
P2 0.363 0.500 0.383
Fe1 0.108 0.500 0.052
Fe2 0.108 0.000 0.552
C1 0.605 0.500 0.015
C2 0.605 0.000 0.515

E above lowest polymorph = 383 meV/atom
ΔE_f = 0.52 eV per atom
mass density = 4.54 g cm⁻³
crystal system = monoclinic
volume = 72.3 Å³ per cell